Record 1
NdSc3C | GGA-PBE | relaxed

Cell lengths 4.7261, 4.7261, 4.7261 Å; angles 90.00, 90.00, 90.00 degrees
Fractional positions:
Sc1 0.0000 0.5000 0.0000
Sc2 0.0000 0.0000 0.5000
Sc3 0.5000 0.0000 0.0000
C1 0.0000 0.0000 0.0000
Nd1 0.5000 0.5000 0.5000

D(E_F)	6.096	states/eV/cell
calculated volume	105.56	Å³/cell
total moment	0.00	μB per formula unit
ΔE_f	-78	meV/atom

=====

Record 2
CsK2Ce3O8 | GGA-PBE | relaxed

Cell lengths 7.2255, 7.2255, 7.7460 Å; angles 62.20, 62.20, 60.00 degrees
Each line ends with the local moment (μB).
Fractional positions:
Cs1 0.8706 0.8706 0.3882  0.01
K1 0.1176 0.1176 0.6471  0.00
K2 0.5002 0.5002 0.4995  0.00
Ce1 0.5002 0.0014 0.9983  -0.01
Ce2 0.0014 0.5002 0.9983  -0.01
Ce3 0.5002 0.5002 0.9983  -0.01
O1 0.2766 0.2766 0.1703  0.01
O2 0.7222 0.7222 0.8334  0.03
O3 0.2470 0.2470 0.8292  0.14
O4 0.6768 0.2470 0.8292  0.14
O5 0.2470 0.6768 0.8292  0.14
O6 0.7511 0.3308 0.1669  0.17
O7 0.3308 0.7511 0.1669  0.17
O8 0.7511 0.7511 0.1669  0.17

D(E_F)	9.295	states/eV/cell
calculated volume	295.09	Å³/cell
total moment	1.17	μB per formula unit
energy	-6.90	eV per atom

=====

Record 3
NaBSb2I | GGA-PBE | relaxed

Cell lengths 5.4352, 5.4352, 5.8265 Å; angles 90.00, 90.00, 90.00 degrees
Fractional positions:
I1 0.0000 0.0000 0.5000
Sb1 0.0000 0.5000 0.0000
Sb2 0.5000 0.0000 0.0000
B1 0.5000 0.5000 0.5000
Na1 0.0000 0.0000 0.0000

D(E_F)	4.995	states/eV/cell
calculated volume	172.12	Å³/cell
total moment	0.00	μB per formula unit
energy relative to the lowest polymorph listed for this composition	110.94	kJ per mole of atoms

=====

Record 4
RbHf3Pt | GGA-PBE | relaxed

Cell lengths 4.8877, 4.8877, 4.8877 Å; angles 90.00, 90.00, 90.00 degrees
Fractional positions:
Hf1 0.0000 0.5000 0.0000
Hf2 0.0000 0.0000 0.5000
Hf3 0.5000 0.0000 0.0000
Rb1 0.0000 0.0000 0.0000
Pt1 0.5000 0.5000 0.5000

D(E_F)	6.677	states/eV/cell
calculated volume	116.77	Å³/cell
total moment	0.00	μB per formula unit
ΔE_f	2282	meV/atom
energy relative to the lowest polymorph listed for this composition	170.37	kJ per mole of atoms

=====

Record 5
Ac2PrRuO8 | GGA-PBE | relaxed

Cell lengths 4.4957, 5.6104, 7.3709 Å; angles 90.00, 90.00, 96.75 degrees
Each line ends with the local moment (μB).
Fractional positions:
Ac1 0.5000 0.5000 0.7586  0.01
Ac2 0.5000 0.5000 0.2414  0.01
Pr1 0.0000 0.0000 0.5000  0.01
Ru1 0.0000 0.0000 0.0000  0.71
O1 0.0682 0.7742 0.2029  0.07
O2 0.6183 0.8460 0.0000  -0.04
O3 0.9318 0.2258 0.2029  0.07
O4 0.9318 0.2258 0.7971  0.07
O5 0.3817 0.1540 0.0000  -0.04
O6 0.0682 0.7742 0.7971  0.07
O7 0.5412 0.7502 0.5000  -0.01
O8 0.4588 0.2498 0.5000  -0.01

D(E_F)	2.774	states/eV/cell
calculated volume	184.63	Å³/cell
total moment	0.99	μB per formula unit
energy	-7.41	eV per atom

=====

Record 6
Eu2SnPb | GGA-PBE | relaxed

Cell lengths 3.8689, 3.8689, 10.4655 Å; angles 79.35, 79.35, 60.00 degrees
Each line ends with the local moment (μB).
Fractional positions:
Pb1 0.0000 0.0000 0.0000  -0.04
Eu1 0.2481 0.2481 0.2556  6.87
Eu2 0.7519 0.7519 0.7444  6.87
Sn1 0.5000 0.5000 0.5000  -0.04

D(E_F)	13.783	states/eV/cell
calculated volume	132.54	Å³/cell
total moment	14.19	μB per formula unit
ΔE_f	-430	meV/atom

=====

Record 7
Fe3TcBr | GGA-PBE | relaxed

Cell lengths 4.3452, 4.3452, 4.3452 Å; angles 90.00, 90.00, 90.00 degrees
Each line ends with the local moment (μB).
Fractional positions:
Tc1 0.5000 0.5000 0.5000  2.71
Br1 0.0000 0.0000 0.0000  0.01
Fe1 0.0000 0.5000 0.0000  2.30
Fe2 0.0000 0.0000 0.5000  2.21
Fe3 0.5000 0.0000 0.0000  2.47

D(E_F)	7.666	states/eV/cell
calculated volume	82.04	Å³/cell
total moment	9.85	μB per formula unit
energy relative to the lowest polymorph listed for this composition	0.96	kJ per mole of atoms

=====

Record 8
SrTmCdCu | GGA-PBE | relaxed

Cell lengths 5.2784, 5.2784, 5.2784 Å; angles 60.00, 60.00, 60.00 degrees
Fractional positions:
Sr1 0.0000 0.0000 0.0000
Tm1 0.5000 0.5000 0.5000
Cu1 0.2500 0.2500 0.2500
Cd1 0.7500 0.7500 0.7500

D(E_F)	2.375	states/eV/cell
calculated volume	103.99	Å³/cell
total moment	0.00	μB per formula unit
ΔE_f	-86	meV/atom

=====

Record 9
RbTlCd2Hg | GGA-PBE | relaxed

Cell lengths 5.0503, 5.0568, 7.3621 Å; angles 110.09, 110.06, 90.00 degrees
Fractional positions:
Rb1 0.4388 0.4388 0.8776
Tl1 0.1916 0.6916 0.3832
Cd1 0.6901 0.1901 0.3801
Cd2 0.0599 0.0599 0.1199
Hg1 0.8318 0.8318 0.6635

D(E_F)	1.978	states/eV/cell
calculated volume	164.38	Å³/cell
total moment	0.00	μB per formula unit
ΔE_f	-88	meV/atom
energy relative to the lowest polymorph listed for this composition	0.00	kJ per mole of atoms

=====

Record 10
Cd3ReSe | GGA-PBE | relaxed

Cell lengths 5.3210, 5.3210, 5.3210 Å; angles 90.00, 90.00, 90.00 degrees
Each line ends with the local moment (μB).
Fractional positions:
Re1 0.0000 0.0000 0.0000  2.09
Se1 0.5000 0.5000 0.5000  0.32
Cd1 0.0000 0.5000 0.0000  0.02
Cd2 0.0000 0.0000 0.5000  0.03
Cd3 0.5000 0.0000 0.0000  0.03

D(E_F)	3.109	states/eV/cell
calculated volume	150.65	Å³/cell
total moment	3.08	μB per formula unit
energy relative to the lowest polymorph listed for this composition	0.00	kJ per mole of atoms

=====

Record 11
Ce4InIr | GGA-PBE | relaxed

Cell lengths 9.7706, 9.7706, 9.7706 Å; angles 60.00, 60.00, 60.00 degrees
Each line ends with the local moment (μB).
Fractional positions:
Ce1 0.4010 0.4010 0.4010  0.70
Ce2 0.7971 0.4010 0.4010  0.70
Ce3 0.4010 0.7971 0.4010  0.70
Ce4 0.4010 0.4010 0.7971  0.70
Ce5 0.5534 0.5534 0.9466  0.72
Ce6 0.9466 0.9466 0.5534  0.72
Ce7 0.5534 0.9466 0.5534  0.72
Ce8 0.9466 0.5534 0.9466  0.72
Ce9 0.9466 0.5534 0.5534  0.72
Ce10 0.5534 0.9466 0.9466  0.72
Ce11 0.1868 0.1868 0.8132  1.04
Ce12 0.8132 0.8132 0.1868  1.04
Ce13 0.1868 0.8132 0.1868  1.04
Ce14 0.8132 0.1868 0.8132  1.04
Ce15 0.8132 0.1868 0.1868  1.04
Ce16 0.1868 0.8132 0.8132  1.04
In1 0.1694 0.1694 0.1694  0.00
In2 0.4919 0.1694 0.1694  0.00
In3 0.1694 0.4919 0.1694  0.00
In4 0.1694 0.1694 0.4919  0.00
Ir1 0.6100 0.6100 0.6100  -0.03
Ir2 0.1700 0.6100 0.6100  -0.03
Ir3 0.6100 0.1700 0.6100  -0.03
Ir4 0.6100 0.6100 0.1700  -0.03

D(E_F)	84.385	states/eV/cell
calculated volume	659.55	Å³/cell
total moment	4.34	μB per formula unit
ΔE_f	-390	meV/atom
energy relative to the lowest polymorph listed for this composition	0.00	kJ per mole of atoms

=====

Record 12
Ca2Be3GaSi4 | GGA-PBE | relaxed

Cell lengths 4.0393, 4.0393, 9.8190 Å; angles 90.00, 90.00, 90.00 degrees
Fractional positions:
Ca1 0.5000 0.0000 0.2415
Ca2 0.0000 0.5000 0.7585
Be1 0.0000 0.0000 0.5000
Be2 0.5000 0.0000 0.8749
Be3 0.0000 0.5000 0.1251
Ga1 0.5000 0.5000 0.5000
Si1 0.5000 0.5000 0.0000
Si2 0.0000 0.0000 0.0000
Si3 0.5000 0.0000 0.6428
Si4 0.0000 0.5000 0.3572

D(E_F)	1.257	states/eV/cell
calculated volume	160.21	Å³/cell
total moment	0.00	μB per formula unit
energy	-4.20	eV per atom

=====

Record 13
NaTlRu3 | GGA-PBE | relaxed

Cell lengths 4.6302, 4.6302, 4.6302 Å; angles 90.00, 90.00, 90.00 degrees
Each line ends with the local moment (μB).
Fractional positions:
Ru1 0.0000 0.5000 0.0000  1.99
Ru2 0.0000 0.0000 0.5000  2.10
Ru3 0.5000 0.0000 0.0000  1.72
Tl1 0.5000 0.5000 0.5000  -0.03
Na1 0.0000 0.0000 0.0000  0.00

D(E_F)	4.911	states/eV/cell
calculated volume	99.26	Å³/cell
total moment	5.95	μB per formula unit
ΔE_f	2115	meV/atom
energy relative to the lowest polymorph listed for this composition	8.00	kJ per mole of atoms

=====

Record 14
SmDy3Ni2 | GGA-PBE | relaxed

Cell lengths 3.8976, 8.2944, 9.9011 Å; angles 77.52, 78.65, 76.41 degrees
Fractional positions:
Sm1 0.8480 0.5590 0.7451
Sm2 0.1520 0.4410 0.2549
Dy1 0.1545 0.9383 0.7527
Dy2 0.8455 0.0617 0.2473
Dy3 0.4181 0.2208 0.9430
Dy4 0.5819 0.7792 0.0570
Dy5 0.5833 0.2726 0.5608
Dy6 0.4167 0.7274 0.4392
Ni1 0.2313 0.5871 0.9502
Ni2 0.7687 0.4129 0.0498
Ni3 0.7684 0.9148 0.5485
Ni4 0.2316 0.0852 0.4515

D(E_F)	13.437	states/eV/cell
calculated volume	300.15	Å³/cell
total moment	0.00	μB per formula unit
ΔE_f	-275	meV/atom

=====

Record 15
RbTmCdS3 | GGA-PBE | relaxed

Cell lengths 4.1089, 8.8804, 10.1029 Å; angles 109.49, 90.00, 90.00 degrees
Fractional positions:
Rb1 0.2500 0.2174 0.2319
Rb2 0.7500 0.7826 0.7681
Tm1 0.2500 0.6664 0.1321
Tm2 0.7500 0.3336 0.8679
Cd1 0.2500 0.0853 0.6139
Cd2 0.7500 0.9147 0.3861
S1 0.7500 0.8758 0.1305
S2 0.2500 0.1242 0.8695
S3 0.2500 0.7773 0.4469
S4 0.7500 0.2227 0.5531
S5 0.7500 0.4697 0.1434
S6 0.2500 0.5303 0.8566

D(E_F)	0.000	states/eV/cell
calculated volume	347.53	Å³/cell
total moment	0.00	μB per formula unit
energy	-4.52	eV per atom

=====

Record 16
Rb2PPtBr6 | GGA-PBE | relaxed

Cell lengths 7.5104, 7.5104, 7.4889 Å; angles 59.91, 59.91, 90.00 degrees
Fractional positions:
P1 0.5000 0.5000 0.0000
Br1 0.2501 0.2501 0.4999
Br2 0.7499 0.7499 0.5001
Br3 0.2496 0.2496 0.0000
Br4 0.7504 0.7504 0.0000
Br5 0.7504 0.2496 0.0000
Br6 0.2496 0.7504 0.0000
Rb1 0.7500 0.2500 0.5000
Rb2 0.2500 0.7500 0.5000
Pt1 0.0000 0.0000 0.0000

D(E_F)	2.366	states/eV/cell
calculated volume	297.84	Å³/cell
total moment	0.00	μB per formula unit
energy	-3.08	eV per atom

=====

Record 17
MnNbCl3 | GGA-PBE | relaxed

Cell lengths 5.0893, 5.0893, 5.0893 Å; angles 90.00, 90.00, 90.00 degrees
Each line ends with the local moment (μB).
Fractional positions:
Nb1 0.0000 0.0000 0.0000  2.06
Mn1 0.5000 0.5000 0.5000  4.72
Cl1 0.0000 0.5000 0.0000  0.06
Cl2 0.0000 0.0000 0.5000  0.03
Cl3 0.5000 0.0000 0.0000  0.09

D(E_F)	12.661	states/eV/cell
calculated volume	131.82	Å³/cell
total moment	8.31	μB per formula unit
energy relative to the lowest polymorph listed for this composition	0.00	kJ per mole of atoms

=====

Record 18
Mg16Al12O | GGA-PBE | relaxed

Cell lengths 9.0563, 9.0563, 9.0563 Å; angles 108.83, 108.83, 108.83 degrees
Fractional positions:
Mg1 0.4583 0.4583 0.6919
Mg2 0.0082 0.0082 0.3447
Mg3 0.7028 0.7028 0.2925
Mg4 0.7972 0.7972 0.7972
Mg5 0.4583 0.6919 0.4583
Mg6 0.3333 0.5948 0.0032
Mg7 0.0032 0.3333 0.5948
Mg8 0.0082 0.3447 0.0082
Mg9 0.5948 0.0032 0.3333
Mg10 0.2925 0.7028 0.7028
Mg11 0.7028 0.2925 0.7028
Mg12 0.0032 0.5948 0.3333
Mg13 0.3447 0.0082 0.0082
Mg14 0.3333 0.0032 0.5948
Mg15 0.5948 0.3333 0.0032
Mg16 0.6919 0.4583 0.4583
Al1 0.2054 0.2054 0.7993
Al2 0.3501 0.3501 0.1566
Al3 0.8377 0.0285 0.6438
Al4 0.1566 0.3501 0.3501
Al5 0.6438 0.8377 0.0285
Al6 0.6438 0.0285 0.8377
Al7 0.7993 0.2054 0.2054
Al8 0.2054 0.7993 0.2054
Al9 0.0285 0.6438 0.8377
Al10 0.8377 0.6438 0.0285
Al11 0.3501 0.1566 0.3501
Al12 0.0285 0.8377 0.6438
O1 0.5858 0.5858 0.5858

D(E_F)	10.885	states/eV/cell
calculated volume	584.93	Å³/cell
total moment	0.00	μB per formula unit
energy	-2.71	eV per atom

=====

Record 19
YAsOs3 | GGA-PBE | relaxed

Cell lengths 4.8578, 4.8578, 4.8578 Å; angles 90.00, 90.00, 90.00 degrees
Fractional positions:
Y1 0.0000 0.0000 0.0000
As1 0.5000 0.5000 0.5000
Os1 0.0000 0.5000 0.0000
Os2 0.0000 0.0000 0.5000
Os3 0.5000 0.0000 0.0000

D(E_F)	4.866	states/eV/cell
calculated volume	114.64	Å³/cell
total moment	0.00	μB per formula unit
ΔE_f	3019	meV/atom
energy relative to the lowest polymorph listed for this composition	221.65	kJ per mole of atoms

=====

Record 20
Nd4Th3Sc | GGA-PBE | relaxed

Cell lengths 5.0352, 10.2518, 10.1101 Å; angles 90.00, 90.00, 90.00 degrees
Fractional positions:
Sc1 0.0644 0.3857 0.0000
Sc2 0.5644 0.6143 0.5000
Nd1 0.0644 0.8627 0.0000
Nd2 0.5644 0.1363 0.0000
Nd3 0.0644 0.1368 0.2467
Nd4 0.5644 0.8632 0.2533
Nd5 0.0644 0.8637 0.5000
Nd6 0.5644 0.1373 0.5000
Nd7 0.5644 0.8632 0.7467
Nd8 0.0644 0.1368 0.7533
Th1 0.5644 0.6157 0.0000
Th2 0.0644 0.6161 0.2492
Th3 0.5644 0.3839 0.2508
Th4 0.0644 0.3843 0.5000
Th5 0.5644 0.3839 0.7492
Th6 0.0644 0.6161 0.7508

D(E_F)	23.267	states/eV/cell
calculated volume	521.88	Å³/cell
total moment	0.00	μB per formula unit
ΔE_f	38	meV/atom